DFT (PBE-GGA) results for a relaxed ZnTcP2S crystal.

Cell and atoms, written as CIF:
```
data_ZnTcP2S
_space_group_name_H-M_alt 'P 4/m m m'
_space_group_IT_number 123
_space_group_name_Hall '-P 4 2'
_cell_length_a 4.5470
_cell_length_b 4.5470
_cell_length_c 4.6404
_cell_angle_alpha 90.00
_cell_angle_beta 90.00
_cell_angle_gamma 90.00
loop_
_atom_site_label
_atom_site_type_symbol
_atom_site_fract_x
_atom_site_fract_y
_atom_site_fract_z
Zn1 Zn 0.0000 0.0000 0.0000
Tc1 Tc 0.5000 0.5000 0.5000
P1 P 0.0000 0.5000 0.0000
S1 S 0.0000 0.0000 0.5000
```

Calculated values
Magnetic moment in Bohr magnetons per cell: 2.7
ΔE to the lowest computed polymorph in eV per atom: 0.755
Formation energy from raw total energies in eV/f.u.: 6.27
V in Å³/atom: 19.2

DFT (PBE-GGA) results for a relaxed ZnTcPS2 crystal.

Cell and atoms, written as CIF:
```
data_ZnTcPS2
_space_group_name_H-M_alt 'P 4/m m m'
_space_group_IT_number 123
_space_group_name_Hall '-P 4 2'
_cell_length_a 4.6626
_cell_length_b 4.6626
_cell_length_c 4.6495
_cell_angle_alpha 90.00
_cell_angle_beta 90.00
_cell_angle_gamma 90.00
loop_
_atom_site_label
_atom_site_type_symbol
_atom_site_fract_x
_atom_site_fract_y
_atom_site_fract_z
Zn1 Zn 0.0000 0.0000 0.0000
Tc1 Tc 0.5000 0.5000 0.5000
P1 P 0.5000 0.5000 0.0000
S1 S 0.0000 0.5000 0.5000
```

Calculated values
Magnetic moment in Bohr magnetons per cell: 0.0
ΔE to the lowest computed polymorph in eV per atom: 0.000
Formation energy from raw total energies in eV/f.u.: 2.13
V in Å³/atom: 20.2

DFT (PBE-GGA) results for a relaxed ZnTcP2S crystal.

Cell and atoms, written as CIF:
```
data_ZnTcP2S
_space_group_name_H-M_alt 'P 4/m m m'
_space_group_IT_number 123
_space_group_name_Hall '-P 4 2'
_cell_length_a 4.4796
_cell_length_b 4.4796
_cell_length_c 5.1509
_cell_angle_alpha 90.00
_cell_angle_beta 90.00
_cell_angle_gamma 90.00
loop_
_atom_site_label
_atom_site_type_symbol
_atom_site_fract_x
_atom_site_fract_y
_atom_site_fract_z
Zn1 Zn 0.0000 0.0000 0.0000
Tc1 Tc 0.5000 0.5000 0.5000
P1 P 0.0000 0.5000 0.5000
S1 S 0.5000 0.5000 0.0000
```

Calculated values
Magnetic moment in Bohr magnetons per cell: 0.0
ΔE to the lowest computed polymorph in eV per atom: 0.000
Formation energy from raw total energies in eV/f.u.: 2.50
V in Å³/atom: 20.7

DFT (PBE-GGA) results for a relaxed ZrTcP2S crystal.

Cell and atoms, written as CIF:
```
data_ZrTcP2S
_space_group_name_H-M_alt 'P 4/m m m'
_space_group_IT_number 123
_space_group_name_Hall '-P 4 2'
_cell_length_a 5.0297
_cell_length_b 5.0297
_cell_length_c 4.8647
_cell_angle_alpha 90.00
_cell_angle_beta 90.00
_cell_angle_gamma 90.00
loop_
_atom_site_label
_atom_site_type_symbol
_atom_site_fract_x
_atom_site_fract_y
_atom_site_fract_z
Zr1 Zr 0.0000 0.0000 0.0000
Tc1 Tc 0.5000 0.5000 0.5000
P1 P 0.0000 0.5000 0.0000
S1 S 0.0000 0.0000 0.5000
```

Calculated values
Magnetic moment in Bohr magnetons per cell: 3.6
ΔE to the lowest computed polymorph in eV per atom: 0.504
Formation energy from raw total energies in eV/f.u.: 3.81
V in Å³/atom: 24.6

DFT (PBE-GGA) results for a relaxed ZrTcP2S crystal.

Cell and atoms, written as CIF:
```
data_ZrTcP2S
_space_group_name_H-M_alt 'P 4/m m m'
_space_group_IT_number 123
_space_group_name_Hall '-P 4 2'
_cell_length_a 4.4738
_cell_length_b 4.4738
_cell_length_c 4.8949
_cell_angle_alpha 90.00
_cell_angle_beta 90.00
_cell_angle_gamma 90.00
loop_
_atom_site_label
_atom_site_type_symbol
_atom_site_fract_x
_atom_site_fract_y
_atom_site_fract_z
Zr1 Zr 0.0000 0.0000 0.0000
Tc1 Tc 0.5000 0.5000 0.5000
P1 P 0.0000 0.5000 0.5000
S1 S 0.5000 0.5000 0.0000
```

Calculated values
Magnetic moment in Bohr magnetons per cell: 0.0
ΔE to the lowest computed polymorph in eV per atom: 0.000
Formation energy from raw total energies in eV/f.u.: 1.29
V in Å³/atom: 19.6

DFT (PBE-GGA) results for a relaxed Te2PS5 crystal.

Cell and atoms, written as CIF:
```
data_Te2PS5
_space_group_name_H-M_alt 'C m c m'
_space_group_IT_number 63
_space_group_name_Hall '-C 2c 2'
_cell_length_a 4.1347
_cell_length_b 21.4998
_cell_length_c 15.6107
_cell_angle_alpha 90.00
_cell_angle_beta 90.00
_cell_angle_gamma 90.00
loop_
_atom_site_label
_atom_site_type_symbol
_atom_site_fract_x
_atom_site_fract_y
_atom_site_fract_z
Te1 Te 0.0000 0.1318 0.0699
P1 P 0.0000 0.0191 0.2500
S1 S 0.0000 0.0218 0.6402
S2 S 0.0000 0.1158 0.2500
S3 S 0.0000 0.3054 0.5725
```

Calculated values
Magnetic moment in Bohr magnetons per cell: 0.0
Formation energy from raw total energies in eV/f.u.: 1.23
V in Å³/atom: 43.4